DFT (GGA-PBE) results for an optimized crystal structure of TmGe2Ru2.

Computed properties:
Crystal system: tetragonal
Volume in Å³/cell: 89
Total energy in Ry per atom: -0.52047
Formation energy from the elements in eV per atom: -0.63

Unit cell a=5.7469 b=5.7469 c=5.7469 alpha=136.55 beta=136.55 gamma=63.13
Fractional coordinates of all 5 atoms:
Tm  0.0000  0.0000  0.0000
Ge  0.3709  0.3709  0.0000
Ge  0.6291  0.6291  0.0000
Ru  0.2500  0.7500  0.5000
Ru  0.7500  0.2500  0.5000